DyInTe: relaxed, PBE.

Geometry as CIF:
```
data_DyInTe
_space_group_name_H-M_alt 'F -4 3 m'
_space_group_IT_number 216
_space_group_name_Hall 'F -4 2 3'
_cell_length_a 7.303
_cell_length_b 7.303
_cell_length_c 7.303
_cell_angle_alpha 90.00
_cell_angle_beta 90.00
_cell_angle_gamma 90.00
loop_
_atom_site_label
_atom_site_type_symbol
_atom_site_fract_x
_atom_site_fract_y
_atom_site_fract_z
_atom_site_occupancy
Dy1 Dy 0.000 0.000 0.000 1
In1 In 0.250 0.250 0.750 1
Te1 Te 0.250 0.250 0.250 1
```

Calculated values
The electronic total energy is -0.281 Ry/atom. The value obtained for the volume is 97 Å³/f.u. The magnetic moment comes out at 0.005 μB per formula unit.